First-principles (PBE-GGA) data for an optimized crystal structure of LiCoPRu, as listed in Alexandria via LeMat-Bulk.

The structure belongs to space group F-43m (No. 216); the cell edges are 5.570, 5.570 and 5.570 Å and the angles 90.00°, 90.00° and 90.00°. The distinct sites, in fractional coordinates, are Li at (0.000, 0.000, 0.000), Co at (0.250, 0.250, 0.750), P at (0.000, 0.000, 0.500) and Ru at (0.250, 0.250, 0.250).

Its density of states at the Fermi level is 8.6 states/eV per cell. The formation enthalpy at 0 K comes out at -0.4222 eV per atom. The final energy comes out at -101.58 eV/cell.